Cs2CrCuF6: relaxed, PBE+U.

Structure (POSCAR):
```
Cs2CrCuF6
1.0
-3.378 3.378 3.919
3.378 -3.378 3.919
3.378 3.378 -3.919
Cs Cr Cu F
2 1 1 6
Direct
0.250 0.750 0.500
0.750 0.250 0.500
0.000 0.000 0.000
0.500 0.500 0.000
0.204 0.204 0.407
0.204 0.796 0.000
0.258 0.258 0.000
0.742 0.742 0.000
0.796 0.204 0.000
0.796 0.796 0.593
```

Values from the calculation:
V = 17.89 Å³ per atom
mass density = 4.597 g/cm³
space-group type = I4/mmm, No. 139
electronic total energy = -49.11 eV for the cell shown